# 1
HoTiSb2 after structural relaxation. Source: Alexandria via LeMat-Bulk, functional GGA-PBE.

## Properties
Its space group is R-3m (166). As for the total DFT energy (no corrections): -23.474 eV/cell. For the density of states at the Fermi level, the calculation gives 2.4 states/eV/f.u.

POSCAR file:
```
HoTiSb2
1.0
-3.773 0.773 -1.520
-2.526 -3.136 -0.963
-4.641 -0.692 5.530
Sb Ti Ho
2 1 1
Direct
0.741 0.741 0.777
0.259 0.259 0.223
0.000 0.000 0.000
0.500 0.500 0.500
```

---

# 2
Al2RhS after structural relaxation. Source: Alexandria via LeMat-Bulk, functional GGA-PBE.

## Properties
Its space group is I-42d (122). As for the total DFT energy (no corrections): -40.500 eV/cell. For the density of states at the Fermi level, the calculation gives 2.5 states/eV/f.u.

POSCAR file:
```
Al2RhS
1.0
-2.458 -5.505 0.219
-0.200 -0.151 -6.028
2.570 -4.572 -2.990
Al Rh S
4 2 2
Direct
0.375 0.378 0.750
0.128 0.625 0.250
0.875 0.872 0.750
0.622 0.125 0.250
0.750 0.250 0.500
0.000 0.000 0.000
0.250 0.750 0.500
0.500 0.500 0.000
```

---

# 3
Mo2OsBr after structural relaxation. Source: Alexandria via LeMat-Bulk, functional GGA-PBE.

## Properties
Its space group is Fm-3m (225). As for the total DFT energy (no corrections): -30.971 eV/cell. For the density of states at the Fermi level, the calculation gives 3.5 states/eV/f.u. The calculation puts the polymorph energy (0 for the lowest one) at 0.425 eV/atom.

POSCAR file:
```
Mo2OsBr
1.0
0.000 3.172 3.172
3.172 0.000 3.172
3.172 3.172 0.000
Mo Br Os
2 1 1
Direct
0.250 0.250 0.250
0.750 0.750 0.750
0.000 0.000 0.000
0.500 0.500 0.500
```

---

# 4
CoPIr2 after structural relaxation. Source: Alexandria via LeMat-Bulk, functional GGA-PBE.

## Properties
Its space group is Cmm2 (35). As for the total DFT energy (no corrections): -29.255 eV/cell. For the density of states at the Fermi level, the calculation gives 4.9 states/eV/f.u. The value obtained for the formation enthalpy at 0 K is 246 meV/atom. The calculation puts the polymorph energy (0 for the lowest one) at 0.388 eV/atom.

POSCAR file:
```
CoPIr2
1.0
-1.709 0.162 -2.155
2.343 -1.439 -0.178
-3.952 -6.759 2.624
Co Ir P
1 2 1
Direct
0.500 0.500 0.719
0.000 0.000 0.987
0.500 0.500 0.279
0.000 0.000 0.515
```

---

# 5
Rb2ScClF6 after structural relaxation. Source: Alexandria via LeMat-Bulk, functional GGA-PBE.

## Properties
Its space group is I4/mmm (139). As for the total DFT energy (no corrections): -47.681 eV/cell. For the density of states at the Fermi level, the calculation gives 0.0 states/eV/f.u.

POSCAR file:
```
Rb2ScClF6
1.0
-1.804 -0.306 -5.929
1.936 -5.888 -0.286
-4.509 -4.672 -1.634
F Rb Sc Cl
6 2 1 1
Direct
0.198 0.198 0.604
0.768 0.768 0.000
0.232 0.768 0.000
0.802 0.802 0.396
0.768 0.232 0.000
0.232 0.232 0.000
0.250 0.750 0.500
0.750 0.250 0.500
0.000 0.000 0.000
0.500 0.500 0.000
```

---

# 6
YTlHg2Cl8 after structural relaxation. Source: Alexandria via LeMat-Bulk, functional GGA-PBE.

## Properties
Its space group is P-1 (2). As for the total DFT energy (no corrections): -38.586 eV/cell. For the density of states at the Fermi level, the calculation gives 0.0 states/eV/f.u.

POSCAR file:
```
YTlHg2Cl8
1.0
-4.286 1.161 -5.121
-3.925 -5.269 1.667
-6.833 3.351 4.816
Cl Hg Y Tl
8 2 1 1
Direct
0.666 0.765 0.023
0.818 0.202 0.187
0.182 0.798 0.813
0.865 0.256 0.756
0.135 0.744 0.244
0.334 0.235 0.977
0.600 0.733 0.512
0.400 0.267 0.488
0.524 0.536 0.265
0.476 0.464 0.735
0.000 0.000 0.000
0.000 0.000 0.500
```